14
Lattice="-4.5622 -1.0870 -0.7988 1.0742 -1.2237 -4.4701 0.8158 -4.4670 1.4190" Properties=species:S:1:pos:R:3 comment="B3SeN3 | Alexandria | PBE | optimized geometry" mass_density_g_cm3=4.73 magnetic_moment_mub_per_fu=0.0 n_ef_per_ev_atom=0.67 final_energy_ev_per_atom=-6.599 pbc="T T T"
B -0.7326 -2.5053 0.5098
B 0.7411 -1.7286 -1.8803
B -1.4754 -1.4613 -3.7520
B -3.0138 -3.0488 0.1104
B 1.1490 -3.9622 -1.1708
B -2.0126 -0.8494 -1.5169
Se -1.3361 -3.3889 -1.9250
Se 0.0000 0.0000 0.0000
N 0.6765 -2.5395 -0.4081
N 1.2136 -3.1513 -2.6431
N -1.6692 -3.8938 0.6648
N -2.8846 -1.4271 -2.8342
N -2.0772 -1.6602 -0.0447
N -0.6034 -0.8836 -2.4348

4
Lattice="2.0777 0.0000 4.6147 -1.0389 1.7993 4.6147 -1.0389 -1.7993 4.6147" Properties=species:S:1:pos:R:3 comment="BSeN2 | Alexandria | PBE | optimized geometry" mass_density_g_cm3=3.78 magnetic_moment_mub_per_fu=0.0 n_ef_per_ev_atom=0.39 final_energy_ev_per_atom=-5.980 pbc="T T T"
B 0.0000 0.0000 0.0000
Se 0.0000 0.0000 6.9221
N 0.0000 0.0000 12.4917
N 0.0000 0.0000 1.3525